1.
Below is crystalline La2MnRe at its relaxed geometry, with properties calculated at the GGA-PBE level.

abc: 3.6094 3.5964 8.3637
angles: 64.62 90.00 90.00
With the nearest neighbours (Å) after each atom.
Positions (direct):
Re1 0.5000 0.7500 0.7500  8 La 3.08
La1 0.0000 0.0200 0.9797  4 Re 3.08, 4 Mn 3.26-3.27
La2 0.0000 0.4800 0.5203  4 Re 3.08, 4 Mn 3.26-3.27
Mn1 0.5000 0.2500 0.2500  8 La 3.26-3.27, 4 Mn 3.60-3.61

Crystal system: monoclinic
Space-group type: P2/m (10)
Relative energy among the computed polymorphs: 0.300 eV per atom
Formation energy from the elements: 425 meV/atom

***

2.
Below is crystalline LaMnRe2 at its relaxed geometry, with properties calculated at the GGA-PBE level.

abc: 2.8249 2.8249 8.5275
angles: 90.00 90.00 90.00
With the nearest neighbours (Å) after each atom.
Positions (direct):
Re1 0.0000 0.0000 0.9409  4 Mn 2.58, 4 Re 2.82
Re2 0.0000 0.0000 0.5591  4 Mn 2.58, 4 Re 2.82
La1 0.5000 0.5000 0.2500  4 La 2.82
Mn1 0.5000 0.5000 0.7500  8 Re 2.58, 4 Mn 2.82

Crystal system: tetragonal
Space-group type: P4/mmm (123)
Relative energy among the computed polymorphs: 0.209 eV per atom
Formation energy from the elements: 460 meV/atom

***

3.
Below is crystalline LaMnRe2 at its relaxed geometry, with properties calculated at the GGA-PBE level.

abc: 5.0163 5.0163 5.2099
angles: 78.08 78.08 34.45
With the nearest neighbours (Å) after each atom.
Positions (direct):
La1 0.7500 0.7500 0.7500  6 Re 2.93-3.22, 2 La 2.97, 4 Mn 3.00
Re1 0.9669 0.9669 0.0681  2 Mn 2.56, 2 Re 2.59
Re2 0.5331 0.5331 0.4319  2 Mn 2.56, 2 Re 2.59
Mn1 0.2500 0.2500 0.2500  4 Re 2.56

Crystal system: monoclinic
Space-group type: C2/m (12)
Relative energy among the computed polymorphs: 0.255 eV per atom
Formation energy from the elements: 506 meV/atom

***

4.
Below is crystalline LaMnRe2 at its relaxed geometry, with properties calculated at the GGA-PBE level.

abc: 5.5944 5.5944 2.7492
angles: 90.00 90.00 123.25
With the nearest neighbours (Å) after each atom.
Positions (direct):
Re1 0.0000 0.0000 0.0000  4 Re 2.66-2.75
Re2 0.5000 0.5000 0.0000  4 Re 2.66-2.75
La1 0.5000 0.0000 0.5000  2 Mn 2.66, 2 La 2.75
Mn1 0.0000 0.5000 0.5000  2 La 2.66, 2 Mn 2.75

Crystal system: orthorhombic
Space-group type: Cmmm (65)
Relative energy among the computed polymorphs: 0.584 eV per atom
Formation energy from the elements: 835 meV/atom

***

Copy entry 3 word for word.
Below is crystalline LaMnRe2 at its relaxed geometry, with properties calculated at the GGA-PBE level.

abc: 5.0163 5.0163 5.2099
angles: 78.08 78.08 34.45
With the nearest neighbours (Å) after each atom.
Positions (direct):
La1 0.7500 0.7500 0.7500  6 Re 2.93-3.22, 2 La 2.97, 4 Mn 3.00
Re1 0.9669 0.9669 0.0681  2 Mn 2.56, 2 Re 2.59
Re2 0.5331 0.5331 0.4319  2 Mn 2.56, 2 Re 2.59
Mn1 0.2500 0.2500 0.2500  4 Re 2.56

Crystal system: monoclinic
Space-group type: C2/m (12)
Relative energy among the computed polymorphs: 0.255 eV per atom
Formation energy from the elements: 506 meV/atom

***

Q: What is the formation energy from the elements in the fourth record?
A: 835 meV/atom